Entry 1:
Be4Rh: optimized geometry, GGA-PBE.

Summary:
total moment: 0.0000 μB/atom
distance to the lowest polymorph of the same formula: 0.0 meV/atom
E: -4.7841 eV per atom

Geometry as CIF:
```
data_Be4Rh
_chemical_formula_sum 'Be8 Rh2'
_symmetry_space_group_name_H-M 'I 4/m'
_symmetry_Int_Tables_number 87
_symmetry_space_group_name_Hall '-I 4'
_cell_length_a 5.716
_cell_length_b 5.716
_cell_length_c 2.831
_cell_angle_alpha 90.00
_cell_angle_beta 90.00
_cell_angle_gamma 90.00
loop_
_atom_site_label
_atom_site_fract_x
_atom_site_fract_y
_atom_site_fract_z
Be1 0.105 0.310 0.000
Rh1 0.000 0.000 0.500
```

Entry 2:
Be3Rh: optimized geometry, GGA-PBE.

Summary:
total moment: 0.0000 μB/atom
E: -4.9492 eV per atom

Geometry as CIF:
```
data_Be3Rh
_chemical_formula_sum 'Be3 Rh1'
_symmetry_space_group_name_H-M 'P 4/m m m'
_symmetry_Int_Tables_number 123
_symmetry_space_group_name_Hall '-P 4 2'
_cell_length_a 2.815
_cell_length_b 2.815
_cell_length_c 4.926
_cell_angle_alpha 90.00
_cell_angle_beta 90.00
_cell_angle_gamma 90.00
loop_
_atom_site_label
_atom_site_fract_x
_atom_site_fract_y
_atom_site_fract_z
Be1 0.000 0.000 0.000
Be2 0.500 0.500 0.248
Rh1 0.000 0.000 0.500
```

Entry 3:
BeRh: optimized geometry, GGA-PBE.

Summary:
total moment: 0.0000 μB/atom
E: -6.0382 eV per atom

Geometry as CIF:
```
data_BeRh
_chemical_formula_sum 'Be8 Rh8'
_symmetry_space_group_name_H-M 'P 21 21 21'
_symmetry_Int_Tables_number 19
_symmetry_space_group_name_Hall 'P 2ac 2ab'
_cell_length_a 4.411
_cell_length_b 4.584
_cell_length_c 8.625
_cell_angle_alpha 90.00
_cell_angle_beta 90.00
_cell_angle_gamma 90.00
loop_
_atom_site_label
_atom_site_fract_x
_atom_site_fract_y
_atom_site_fract_z
Be1 0.147 0.139 0.281
Be2 0.181 0.405 0.066
Rh1 0.148 0.359 0.800
Rh2 0.155 0.913 0.029
```

Entry 4:
BeRh: optimized geometry, GGA-PBE.

Summary:
total moment: 0.0000 μB/atom
E: -5.9453 eV per atom

Geometry as CIF:
```
data_BeRh
_chemical_formula_sum 'Be2 Rh2'
_symmetry_space_group_name_H-M 'P 63/m m c'
_symmetry_Int_Tables_number 194
_symmetry_space_group_name_Hall '-P 6c 2c'
_cell_length_a 2.7814
_cell_length_b 2.7814
_cell_length_c 6.7896
_cell_angle_alpha 90.00
_cell_angle_beta 90.00
_cell_angle_gamma 120.00
loop_
_atom_site_label
_atom_site_fract_x
_atom_site_fract_y
_atom_site_fract_z
Be1 0.0000 0.0000 0.0000
Rh1 0.3333 0.6667 0.2500
```

Entry 5:
BeRh: optimized geometry, GGA-PBE.

Summary:
total moment: 0.0000 μB/atom
E: -5.9339 eV per atom

Geometry as CIF:
```
data_BeRh
_chemical_formula_sum 'Be4 Rh4'
_symmetry_space_group_name_H-M 'I m m a'
_symmetry_Int_Tables_number 74
_symmetry_space_group_name_Hall '-I 2b 2'
_cell_length_a 2.816
_cell_length_b 3.751
_cell_length_c 8.448
_cell_angle_alpha 90.00
_cell_angle_beta 90.00
_cell_angle_gamma 90.00
loop_
_atom_site_label
_atom_site_fract_x
_atom_site_fract_y
_atom_site_fract_z
Be1 0.000 0.250 0.133
Rh1 0.000 0.250 0.619
```

Entry 6:
BeRh: optimized geometry, GGA-PBE.

Summary:
total moment: 0.0000 μB/atom
E: -5.7251 eV per atom

Geometry as CIF:
```
data_BeRh
_chemical_formula_sum 'Be6 Rh6'
_symmetry_space_group_name_H-M 'R -3 m'
_symmetry_Int_Tables_number 166
_symmetry_space_group_name_Hall '-R 3 2"'
_cell_length_a 3.5394
_cell_length_b 3.5394
_cell_length_c 13.0370
_cell_angle_alpha 90.00
_cell_angle_beta 90.00
_cell_angle_gamma 120.00
loop_
_atom_site_label
_atom_site_fract_x
_atom_site_fract_y
_atom_site_fract_z
Be1 0.0000 0.0000 0.1868
Rh1 0.0000 0.0000 0.3999
```

Entry 7:
BeRh: optimized geometry, GGA-PBE.

Summary:
total moment: 0.2384 μB/atom
E: -5.5359 eV per atom

Geometry as CIF:
```
data_BeRh
_chemical_formula_sum 'Be6 Rh6'
_symmetry_space_group_name_H-M 'R -3 m'
_symmetry_Int_Tables_number 166
_symmetry_space_group_name_Hall '-R 3 2"'
_cell_length_a 2.6774
_cell_length_b 2.6774
_cell_length_c 23.4243
_cell_angle_alpha 90.00
_cell_angle_beta 90.00
_cell_angle_gamma 120.00
loop_
_atom_site_label
_atom_site_fract_x
_atom_site_fract_y
_atom_site_fract_z
Be1 0.0000 0.0000 0.1246
Rh1 0.0000 0.0000 0.3837
```

Entry 8:
Be3Rh5: optimized geometry, GGA-PBE.

Summary:
total moment: 0.0000 μB/atom
distance to the lowest polymorph of the same formula: 0.0 meV/atom
E: -6.4233 eV per atom

Geometry as CIF:
```
data_Be3Rh5
_chemical_formula_sum 'Be3 Rh5'
_symmetry_space_group_name_H-M 'P 4/m m m'
_symmetry_Int_Tables_number 123
_symmetry_space_group_name_Hall '-P 4 2'
_cell_length_a 2.775
_cell_length_b 2.775
_cell_length_c 12.120
_cell_angle_alpha 90.00
_cell_angle_beta 90.00
_cell_angle_gamma 90.00
loop_
_atom_site_label
_atom_site_fract_x
_atom_site_fract_y
_atom_site_fract_z
Be1 0.000 0.000 0.000
Be2 0.500 0.500 0.389
Rh1 0.000 0.000 0.272
Rh2 0.000 0.000 0.500
Rh3 0.500 0.500 0.114
```